# 1
The following is a PBE calculation of an optimized crystal structure of Pa2Fe3Si5, from Alexandria.

Results
ρ = 8.500 g cm⁻³
Fermi-level density of states = 23.548 states/eV per cell
Raw formation energy = -0.531 eV/atom

Lattice parameters (Å, degrees): 4.0028 23.2115 6.4767 90.00 90.00 90.00
Space group Cmc2_1 (No. 36)
One atom of each set of equivalent atoms:
Pa1 0.0000 0.0285 0.0000 (multiplicity 4)
Pa2 0.0000 0.3280 0.0560 (multiplicity 4)
Fe1 0.0000 0.1038 0.7688 (multiplicity 4)
Fe2 0.0000 0.2729 0.5794 (multiplicity 4)
Fe3 0.0000 0.4465 0.7866 (multiplicity 4)
Si1 0.0000 0.0970 0.3833 (multiplicity 4)
Si2 0.0000 0.2060 0.8773 (multiplicity 4)
Si3 0.0000 0.2140 0.2721 (multiplicity 4)
Si4 0.0000 0.3722 0.5248 (multiplicity 4)
Si5 0.0000 0.4501 0.1598 (multiplicity 4)

=====

# 2
The following is a PBE calculation of an optimized crystal structure of Ce2DyPb, from Alexandria.

Results
ρ = 9.011 g cm⁻³
Fermi-level density of states = 57.577 states/eV per cell
Polymorph energy (0 for the lowest one) = 0.99 eV per formula unit

Lattice parameters (Å, degrees): 7.8246 7.8246 7.8246 90.00 90.00 90.00
Space group Fm-3m (No. 225)
One atom of each set of equivalent atoms:
Ce1 0.2500 0.2500 0.2500 (multiplicity 8)
Dy1 0.0000 0.0000 0.0000 (multiplicity 4)
Pb1 0.0000 0.0000 0.5000 (multiplicity 4)

=====

# 3
The following is a PBE calculation of an optimized crystal structure of Tm3Ni8Pb, from Alexandria.

Results
ρ = 10.945 g cm⁻³
Fermi-level density of states = 30.711 states/eV per cell
DFT total energy = -0.4172 Ry per atom

Lattice parameters (Å, degrees): 5.0234 5.0234 24.6507 90.00 90.00 120.00
Space group R3m (No. 160, hexagonal axes)
One atom of each set of equivalent atoms:
Tm1 0.0000 0.0000 0.0000 (multiplicity 3)
Tm2 0.0000 0.0000 0.1269 (multiplicity 3)
Tm3 0.0000 0.0000 0.5063 (multiplicity 3)
Ni1 0.0000 0.0000 0.3151 (multiplicity 3)
Ni2 0.0000 0.0000 0.8146 (multiplicity 3)
Ni3 0.0027 0.5013 0.0666 (multiplicity 9)
Ni4 0.1675 0.3350 0.8970 (multiplicity 9)
Pb1 0.0000 0.0000 0.6309 (multiplicity 3)

=====

# 4
The following is a PBE calculation of an optimized crystal structure of SmF3, from Alexandria.

Results
ρ = 6.523 g cm⁻³
Fermi-level density of states = 0.000 states/eV per cell
Raw formation energy = -4.129 eV/atom

Lattice parameters (Å, degrees): 6.6799 7.0916 4.4574 90.00 90.00 90.00
Space group Pnma (No. 62)
One atom of each set of equivalent atoms:
Sm1 0.1318 0.2500 0.0651 (multiplicity 4)
F1 0.0194 0.7500 0.4205 (multiplicity 4)
F2 0.1639 0.5642 0.8864 (multiplicity 8)

=====

# 5
The following is a PBE calculation of an optimized crystal structure of La3Ce2DyBi6, from Alexandria.

Results
ρ = 8.306 g cm⁻³
Fermi-level density of states = 26.252 states/eV per cell
DFT total energy = -0.4027 Ry per atom

Lattice parameters (Å, degrees): 8.0247 13.8998 8.0344 90.00 109.46 90.00
Space group C2/m (No. 12)
One atom of each set of equivalent atoms:
La1 0.0000 0.0000 0.0000 (multiplicity 2)
La2 0.0000 0.3322 0.0000 (multiplicity 4)
Ce1 0.0000 0.1663 0.5000 (multiplicity 4)
Dy1 0.0000 0.5000 0.5000 (multiplicity 2)
Bi1 0.2453 0.3348 0.7406 (multiplicity 8)
Bi2 0.2494 0.5000 0.2577 (multiplicity 4)

=====

# 6
The following is a PBE calculation of an optimized crystal structure of CaPtRh, from Alexandria.

Results
ρ = 10.440 g cm⁻³
Fermi-level density of states = 4.458 states/eV per cell
Polymorph energy (0 for the lowest one) = 2.43 eV per formula unit

Lattice parameters (Å, degrees): 2.9904 2.9904 6.9430 90.00 90.00 120.00
Space group P3m1 (No. 156)
One atom of each set of equivalent atoms:
Ca1 0.0000 0.0000 0.0000 (multiplicity 1)
Pt1 0.6667 0.3333 0.3424 (multiplicity 1)
Rh1 0.3333 0.6667 0.6679 (multiplicity 1)

=====

# 7
The following is a PBE calculation of an optimized crystal structure of CoRu4, from Alexandria.

Results
ρ = 9.489 g cm⁻³
Fermi-level density of states = 9.805 states/eV per cell
Polymorph energy (0 for the lowest one) = 7.40 eV per formula unit

Lattice parameters (Å, degrees): 4.3279 4.3279 4.3279 90.00 90.00 90.00
Space group Pm-3m (No. 221)
One atom of each set of equivalent atoms:
Co1 0.0000 0.0000 0.0000 (multiplicity 1)
Ru1 0.0000 0.0000 0.5000 (multiplicity 3)
Ru2 0.5000 0.5000 0.5000 (multiplicity 1)

=====

# 8
The following is a PBE calculation of an optimized crystal structure of ZrCrTc2, from Alexandria.

Results
ρ = 8.388 g cm⁻³
Fermi-level density of states = 13.423 states/eV per cell
DFT total energy = -0.6849 Ry per atom

Lattice parameters (Å, degrees): 7.0437 7.0437 5.4145 90.00 90.00 90.00
Space group I-42d (No. 122)
One atom of each set of equivalent atoms:
Zr1 0.0000 0.0000 0.0000 (multiplicity 4)
Cr1 0.0000 0.0000 0.5000 (multiplicity 4)
Tc1 0.1976 0.2500 0.6250 (multiplicity 8)

=====

# 9
The following is a PBE calculation of an optimized crystal structure of ScPO2F, from Alexandria.

Results
ρ = 3.135 g cm⁻³
Fermi-level density of states = 1.591 states/eV per cell
Raw formation energy = -1.529 eV/atom

Lattice parameters (Å, degrees): 4.1380 4.1380 3.9268 90.00 90.00 90.00
Space group P4/mmm (No. 123)
One atom of each set of equivalent atoms:
Sc1 0.0000 0.0000 0.0000 (multiplicity 1)
P1 0.5000 0.5000 0.5000 (multiplicity 1)
O1 0.0000 0.5000 0.0000 (multiplicity 2)
F1 0.0000 0.0000 0.5000 (multiplicity 1)

=====

# 10
The following is a PBE calculation of an optimized crystal structure of CsAl2Ge4, from Alexandria.

Results
ρ = 3.345 g cm⁻³
Fermi-level density of states = 13.206 states/eV per cell
DFT total energy = -0.2002 Ry per atom

Lattice parameters (Å, degrees): 5.7353 5.7353 14.4114 90.00 90.00 90.00
Space group I4/mmm (No. 139)
One atom of each set of equivalent atoms:
Cs1 0.0000 0.0000 0.0000 (multiplicity 2)
Al1 0.0000 0.0000 0.4134 (multiplicity 4)
Ge1 0.0000 0.0000 0.2424 (multiplicity 4)
Ge2 0.0000 0.5000 0.0000 (multiplicity 4)

=====

# 11
The following is a PBE calculation of an optimized crystal structure of Pm12Ho7Th, from Alexandria.

Results
ρ = 7.475 g cm⁻³
Fermi-level density of states = 96.019 states/eV per cell
Polymorph energy (0 for the lowest one) = 1.17 eV per formula unit

Lattice parameters (Å, degrees): 19.6859 19.6859 6.2085 90.00 90.00 120.00
Space group R-3 (No. 148, hexagonal axes)
One atom of each set of equivalent atoms:
Pm1 0.0002 0.4125 0.0019 (multiplicity 18)
Pm2 0.0971 0.5493 0.4446 (multiplicity 18)
Ho1 0.0000 0.0000 0.0000 (multiplicity 3)
Ho2 0.0816 0.9171 0.2722 (multiplicity 18)
Th1 0.0000 0.0000 0.5000 (multiplicity 3)

=====

# 12
The following is a PBE calculation of an optimized crystal structure of Pm8Sm3Sc, from Alexandria.

Results
ρ = 6.247 g cm⁻³
Fermi-level density of states = 37.666 states/eV per cell
DFT total energy = -0.3182 Ry per atom

Lattice parameters (Å, degrees): 8.7334 8.7334 11.5429 90.00 90.00 90.00
Space group I-42m (No. 121)
One atom of each set of equivalent atoms:
Pm1 0.1256 0.1256 0.2567 (multiplicity 8)
Pm2 0.2390 0.2390 0.5182 (multiplicity 8)
Sm1 0.0000 0.0000 0.0000 (multiplicity 2)
Sm2 0.0000 0.5000 0.2500 (multiplicity 4)
Sc1 0.0000 0.0000 0.5000 (multiplicity 2)

=====

# 13
The following is a PBE calculation of an optimized crystal structure of HoErTlCd, from Alexandria.

Results
ρ = 10.254 g cm⁻³
Fermi-level density of states = 17.126 states/eV per cell
DFT total energy = -0.2520 Ry per atom

Lattice parameters (Å, degrees): 7.4913 7.4913 7.4913 90.00 90.00 90.00
Space group F-43m (No. 216)
One atom of each set of equivalent atoms:
Ho1 0.0000 0.0000 0.0000 (multiplicity 4)
Er1 0.0000 0.0000 0.5000 (multiplicity 4)
Tl1 0.2500 0.2500 0.7500 (multiplicity 4)
Cd1 0.2500 0.2500 0.2500 (multiplicity 4)

=====

# 14
The following is a PBE calculation of an optimized crystal structure of ErHf2MgN4, from Alexandria.

Results
ρ = 10.347 g cm⁻³
Fermi-level density of states = 1.220 states/eV per cell
Raw formation energy = -1.633 eV/atom

Lattice parameters (Å, degrees): 5.5925 3.2426 5.6678 90.00 109.27 90.00
Space group P2/m (No. 10)
One atom of each set of equivalent atoms:
Er1 0.0000 0.0000 0.0000 (multiplicity 1)
Hf1 0.0000 0.5000 0.5000 (multiplicity 1)
Hf2 0.5000 0.0000 0.5000 (multiplicity 1)
Mg1 0.5000 0.5000 0.0000 (multiplicity 1)
N1 0.2470 0.0000 0.7332 (multiplicity 2)
N2 0.2595 0.5000 0.2665 (multiplicity 2)

=====

# 15
The following is a PBE calculation of an optimized crystal structure of BaSrY2Ru, from Alexandria.

Results
ρ = 4.505 g cm⁻³
Fermi-level density of states = 3.236 states/eV per cell
Polymorph energy (0 for the lowest one) = 0.25 eV per formula unit

Lattice parameters (Å, degrees): 5.5045 5.5045 6.1293 90.00 90.00 90.00
Space group P4/mmm (No. 123)
One atom of each set of equivalent atoms:
Ba1 0.0000 0.0000 0.0000 (multiplicity 1)
Sr1 0.5000 0.5000 0.0000 (multiplicity 1)
Y1 0.0000 0.5000 0.5000 (multiplicity 2)
Ru1 0.0000 0.0000 0.5000 (multiplicity 1)

=====

# 16
The following is a PBE calculation of an optimized crystal structure of Ca12Sn3O5, from Alexandria.

Results
ρ = 3.003 g cm⁻³
Fermi-level density of states = 48.908 states/eV per cell
Raw formation energy = -1.578 eV/atom

Lattice parameters (Å, degrees): 15.9487 15.9487 15.9487 90.00 90.00 90.00
Space group Ia-3d (No. 230)
One atom of each set of equivalent atoms:
Ca1 0.0351 0.0483 0.6502 (multiplicity 96)
Sn1 0.0000 0.2500 0.1250 (multiplicity 24)
O1 0.0000 0.0000 0.0000 (multiplicity 16)
O2 0.0000 0.2500 0.3750 (multiplicity 24)

=====

# 17
The following is a PBE calculation of an optimized crystal structure of ThCo2As, from Alexandria.

Results
ρ = 10.496 g cm⁻³
Fermi-level density of states = 10.383 states/eV per cell
DFT total energy = -0.5225 Ry per atom

Lattice parameters (Å, degrees): 3.9909 3.9909 14.6183 90.00 90.00 120.00
Space group R-3m (No. 166, hexagonal axes)
One atom of each set of equivalent atoms:
Th1 0.0000 0.0000 0.0000 (multiplicity 3)
Co1 0.0000 0.0000 0.2086 (multiplicity 6)
As1 0.0000 0.0000 0.5000 (multiplicity 3)

=====

# 18
The following is a PBE calculation of an optimized crystal structure of SrHfGePd2, from Alexandria.

Results
ρ = 6.553 g cm⁻³
Fermi-level density of states = 2.913 states/eV per cell
DFT total energy = -0.2862 Ry per atom

Lattice parameters (Å, degrees): 4.9199 4.9199 5.7741 90.00 90.00 90.00
Space group P4/mmm (No. 123)
One atom of each set of equivalent atoms:
Sr1 0.0000 0.0000 0.0000 (multiplicity 1)
Hf1 0.0000 0.0000 0.5000 (multiplicity 1)
Ge1 0.5000 0.5000 0.5000 (multiplicity 1)
Pd1 0.0000 0.5000 0.0000 (multiplicity 2)

=====

# 19
The following is a PBE calculation of an optimized crystal structure of Mn2VTe2, from Alexandria.

Results
ρ = 6.803 g cm⁻³
Fermi-level density of states = 7.576 states/eV per cell
Polymorph energy (0 for the lowest one) = 0.00 eV per formula unit
Raw formation energy = 0.232 eV/atom

Lattice parameters (Å, degrees): 7.4014 7.4014 3.7073 90.00 90.00 90.00
Space group P4/mbm (No. 127)
One atom of each set of equivalent atoms:
Mn1 0.1262 0.3738 0.0000 (multiplicity 4)
V1 0.0000 0.0000 0.5000 (multiplicity 2)
Te1 0.1706 0.6706 0.5000 (multiplicity 4)

=====

# 20
The following is a PBE calculation of an optimized crystal structure of La2Nd4Al, from Alexandria.

Results
ρ = 5.707 g cm⁻³
Fermi-level density of states = 10.449 states/eV per cell
Polymorph energy (0 for the lowest one) = 3.14 eV per formula unit

Lattice parameters (Å, degrees): 4.9055 4.9055 10.6625 90.00 90.00 90.00
Space group P-42m (No. 111)
One atom of each set of equivalent atoms:
La1 0.0000 0.5000 0.0000 (multiplicity 2)
Nd1 0.2379 0.2379 0.7148 (multiplicity 4)
Al1 0.5000 0.5000 0.5000 (multiplicity 1)